DFT (PBE) results for crystalline Li3Sm2NpS6 at its relaxed geometry.

Results
M_tot = 0.334 μB/atom
Raw formation energy = -19.69 eV per formula unit
N(E_F) = 15.5 states/eV/cell

a = 6.912 Å, b = 11.971 Å, c = 6.601 Å
α = 90.00°, β = 110.40°, γ = 90.00°
Space group C2/m (No. 12)
Asymmetric unit:
Li 0.000 0.000 0.000 (multiplicity 2)
Li 0.000 0.335 0.000 (multiplicity 4)
Sm 0.000 0.167 0.500 (multiplicity 4)
Np 0.000 0.500 0.500 (multiplicity 2)
S 0.245 0.500 0.246 (multiplicity 4)
S 0.250 0.165 0.245 (multiplicity 8)